(1)
Computed, not measured: a geometry-optimized SmDyI2 structure at the PBE-GGA level of DFT.

Cell: 3.8241 3.8241 28.7958 Å, 90.00 90.00 120.00°
Positions (direct):
Sm 0.0000 0.0000 0.0000
Sm 0.3333 0.6667 0.6667
Sm 0.6667 0.3333 0.3333
Dy 0.0000 0.0000 0.8373
Dy 0.3333 0.6667 0.5040
Dy 0.6667 0.3333 0.1707
I 0.0000 0.0000 0.4206
I 0.0000 0.0000 0.5837
I 0.3333 0.6667 0.0872
I 0.3333 0.6667 0.2504
I 0.6667 0.3333 0.7539
I 0.6667 0.3333 0.9171

Space-group type: R3m, No. 160
Total magnetic moment: 0.00 μB per formula unit
V: 365 Å³/cell
E_form (uncorrected): -0.7539 eV per atom
Excess energy over the best structure of this formula in the dataset: 0.000 eV per atom

***

(2)
Computed, not measured: a geometry-optimized Sm2DyI8 structure at the PBE-GGA level of DFT.

Cell: 10.7370 10.7370 7.3211 Å, 96.33 96.33 48.07°
Positions (direct):
Sm 0.1442 0.1442 0.4215
Sm 0.8558 0.8558 0.5785
Dy 0.0000 0.0000 0.0000
I 0.1385 0.1385 0.8340
I 0.2008 0.6842 0.7425
I 0.2876 0.2876 0.3556
I 0.3158 0.7992 0.2575
I 0.6842 0.2008 0.7425
I 0.7124 0.7124 0.6444
I 0.7992 0.3158 0.2575
I 0.8615 0.8615 0.1660

Space-group type: C2/m, No. 12
Total magnetic moment: 1.02 μB per formula unit
V: 623 Å³/cell
E_form (uncorrected): -1.2256 eV per atom

***

(3)
Computed, not measured: a geometry-optimized SmDyI6 structure at the PBE-GGA level of DFT.

Cell: 8.2339 8.2339 8.2339 Å, 55.60 55.60 55.60°
Positions (direct):
Sm 0.0000 0.0000 0.0000
Dy 0.5000 0.5000 0.5000
I 0.0923 0.7466 0.4134
I 0.2534 0.5866 0.9077
I 0.4134 0.0923 0.7466
I 0.5866 0.9077 0.2534
I 0.7466 0.4134 0.0923
I 0.9077 0.2534 0.5866

Space-group type: R-3, No. 148
Total magnetic moment: 0.00 μB per formula unit
V: 354 Å³/cell
E_form (uncorrected): -1.3354 eV per atom
Excess energy over the best structure of this formula in the dataset: 0.023 eV per atom

***

(4)
Computed, not measured: a geometry-optimized SmDyI2 structure at the PBE-GGA level of DFT.

Cell: 3.8785 3.8785 32.1954 Å, 90.00 90.00 120.00°
Positions (direct):
Sm 0.0000 0.0000 0.0000
Sm 0.3333 0.6667 0.6667
Sm 0.6667 0.3333 0.3333
Dy 0.0000 0.0000 0.5000
Dy 0.3333 0.6667 0.1667
Dy 0.6667 0.3333 0.8333
I 0.0000 0.0000 0.4040
I 0.0000 0.0000 0.5960
I 0.3333 0.6667 0.0706
I 0.3333 0.6667 0.2627
I 0.6667 0.3333 0.7373
I 0.6667 0.3333 0.9294

Space-group type: R-3m, No. 166
Total magnetic moment: 0.00 μB per formula unit
V: 419 Å³/cell
E_form (uncorrected): -0.6866 eV per atom
Excess energy over the best structure of this formula in the dataset: 0.067 eV per atom

***

(5)
Computed, not measured: a geometry-optimized SmDyI3 structure at the PBE-GGA level of DFT.

Cell: 10.2198 10.2198 12.3953 Å, 124.39 124.39 23.16°
Positions (direct):
Sm 0.1324 0.1324 0.2768
Sm 0.8676 0.8676 0.7232
Dy 0.4336 0.4336 0.0384
Dy 0.5664 0.5664 0.9616
I 0.0340 0.0340 0.7462
I 0.2112 0.2112 0.1195
I 0.3336 0.3336 0.4951
I 0.6664 0.6664 0.5049
I 0.7887 0.7887 0.8805
I 0.9660 0.9660 0.2538

Space-group type: C2/m, No. 12
Total magnetic moment: 0.00 μB per formula unit
V: 416 Å³/cell
E_form (uncorrected): -1.1028 eV per atom
Excess energy over the best structure of this formula in the dataset: 0.000 eV per atom

***

(6)
Computed, not measured: a geometry-optimized Sm2Dy2I7 structure at the PBE-GGA level of DFT.

Cell: 8.0984 8.0984 8.1778 Å, 91.44 91.44 111.06°
Positions (direct):
Sm 0.1338 0.8662 0.0000
Sm 0.8662 0.1338 0.0000
Dy 0.2004 0.2004 0.3350
Dy 0.7996 0.7996 0.6650
I 0.0814 0.4871 0.2191
I 0.1324 0.1324 0.7156
I 0.4871 0.0814 0.2191
I 0.5000 0.5000 0.5000
I 0.5129 0.9186 0.7809
I 0.8676 0.8676 0.2844
I 0.9186 0.5129 0.7809

Space-group type: C2/m, No. 12
Total magnetic moment: 0.84 μB per formula unit
V: 500 Å³/cell
E_form (uncorrected): -0.9523 eV per atom